CsIN2 | GGA-PBE | optimized geometry

Cell: 8.200 8.200 8.200 Å, 25.03 25.03 25.03°
Atoms (fractional coordinates):
Cs 0.000 0.000 0.000
I 0.500 0.500 0.500
N 0.118 0.118 0.118
N 0.882 0.882 0.882

Summary:
Symmetry: R-3m
Polymorph energy (0 for the lowest one): 219.75 kJ per mole of atoms
Raw total energy: -3.200 eV/atom

---

Cs2IN | GGA-PBE | optimized geometry

Cell: 6.237 6.237 6.237 Å, 60.00 60.00 60.00°
Atoms (fractional coordinates):
Cs 0.250 0.250 0.250
Cs 0.750 0.750 0.750
I 0.000 0.000 0.000
N 0.500 0.500 0.500

Summary:
Symmetry: Fm-3m
Polymorph energy (0 for the lowest one): 0.00 kJ per mole of atoms
Raw total energy: -2.788 eV/atom

---

Q: Look up the raw total energy of the first one.
A: -3.200 eV/atom

---

Q: raw total energy of number 1 (CsIN2)?
A: -3.200 eV/atom

---

Copy entry 2 word for word.
Cs2IN | GGA-PBE | optimized geometry

Cell: 6.237 6.237 6.237 Å, 60.00 60.00 60.00°
Atoms (fractional coordinates):
Cs 0.250 0.250 0.250
Cs 0.750 0.750 0.750
I 0.000 0.000 0.000
N 0.500 0.500 0.500

Summary:
Symmetry: Fm-3m
Polymorph energy (0 for the lowest one): 0.00 kJ per mole of atoms
Raw total energy: -2.788 eV/atom

---

Copy entry 2 word for word.
Cs2IN | GGA-PBE | optimized geometry

Cell: 6.237 6.237 6.237 Å, 60.00 60.00 60.00°
Atoms (fractional coordinates):
Cs 0.250 0.250 0.250
Cs 0.750 0.750 0.750
I 0.000 0.000 0.000
N 0.500 0.500 0.500

Summary:
Symmetry: Fm-3m
Polymorph energy (0 for the lowest one): 0.00 kJ per mole of atoms
Raw total energy: -2.788 eV/atom